Sr3VMo: optimized geometry, GGA-PBE.

Unit cell a=5.7444 b=5.7444 c=5.7444 alpha=90.00 beta=90.00 gamma=90.00
Each line ends with the local moment (μB).
Sites, in units of the cell vectors:
Sr (0.0000, 0.5000, 0.0000)  0.03
Sr (0.0000, 0.0000, 0.5000)  0.03
Sr (0.5000, 0.0000, 0.0000)  0.03
Mo (0.0000, 0.0000, 0.0000)  0.30
V (0.5000, 0.5000, 0.5000)  3.13

Calculated values
For the excess energy over the best structure of this formula in the dataset, the calculation gives 0 meV per atom. As for the total magnetization: 0.941 μB per atom. The calculation puts the formation energy at 1.358 eV per atom. The space group is Pm-3m.